Arrangement 1

The following is a PBE-GGA calculation of TlRhC2 after structural relaxation, from the Alexandria database.

Unit cell a=5.149 b=5.149 c=9.671 alpha=90.00 beta=90.00 gamma=90.00
Space group I-42d (No. 122)
One atom of each set of equivalent atoms:
1 Tl 0.000 0.000 0.000 x4
2 Rh 0.000 0.000 0.500 x4
3 C 0.163 0.250 0.625 x8

Computed properties:
- crystal system = tetragonal
- theoretical density (g/cm³) = 8.58

=====

Arrangement 2

The following is a PBE-GGA calculation of TlRhC2 after structural relaxation, from the Alexandria database.

Unit cell a=5.862 b=5.862 c=5.862 alpha=90.00 beta=90.00 gamma=90.00
Space group Fm-3m (No. 225)
One atom of each set of equivalent atoms:
1 Tl 0.000 0.000 0.000 x4
2 Rh 0.000 0.000 0.500 x4
3 C 0.250 0.250 0.250 x8

Computed properties:
- crystal system = cubic
- theoretical density (g/cm³) = 10.92

=====

Most stable to least stable: arrangement 1, arrangement 2

=====

Arrangement 1

The following is a PBE-GGA calculation of TlRh3C after structural relaxation, from the Alexandria database.

Unit cell a=4.157 b=4.157 c=4.157 alpha=90.00 beta=90.00 gamma=90.00
Space group Pm-3m (No. 221)
One atom of each set of equivalent atoms:
1 Tl 0.000 0.000 0.000 x1
2 Rh 0.000 0.500 0.500 x3
3 C 0.500 0.500 0.500 x1

Computed properties:
- crystal system = cubic
- theoretical density (g/cm³) = 12.14

=====

Arrangement 2

The following is a PBE-GGA calculation of TlRh3C after structural relaxation, from the Alexandria database.

Unit cell a=4.997 b=4.997 c=4.997 alpha=90.00 beta=90.00 gamma=90.00
Space group Pm-3m (No. 221)
One atom of each set of equivalent atoms:
1 Tl 0.000 0.000 0.000 x1
2 Rh 0.000 0.000 0.500 x3
3 C 0.500 0.500 0.500 x1

Computed properties:
- crystal system = cubic
- theoretical density (g/cm³) = 6.99

=====

Most stable to least stable: arrangement 1, arrangement 2

=====

Arrangement 1

The following is a PBE-GGA calculation of VRhC2 after structural relaxation, from the Alexandria database.

Unit cell a=5.306 b=5.306 c=5.306 alpha=90.00 beta=90.00 gamma=90.00
Space group Fm-3m (No. 225)
One atom of each set of equivalent atoms:
1 V 0.000 0.000 0.000 x4
2 Rh 0.000 0.000 0.500 x4
3 C 0.250 0.250 0.250 x8

Computed properties:
- crystal system = cubic
- theoretical density (g/cm³) = 7.91

=====

Arrangement 2

The following is a PBE-GGA calculation of VRhC2 after structural relaxation, from the Alexandria database.

Unit cell a=4.533 b=4.533 c=9.252 alpha=90.00 beta=90.00 gamma=90.00
Space group I-42d (No. 122)
One atom of each set of equivalent atoms:
1 V 0.000 0.000 0.000 x4
2 Rh 0.000 0.000 0.500 x4
3 C 0.245 0.250 0.125 x8

Computed properties:
- crystal system = tetragonal
- theoretical density (g/cm³) = 6.21

=====

Most stable to least stable: arrangement 2, arrangement 1

=====

Arrangement 1

The following is a PBE-GGA calculation of RhWC3 after structural relaxation, from the Alexandria database.

Unit cell a=4.053 b=4.053 c=4.053 alpha=90.00 beta=90.00 gamma=90.00
Space group Pm-3m (No. 221)
One atom of each set of equivalent atoms:
1 Rh 0.000 0.000 0.000 x1
2 W 0.500 0.500 0.500 x1
3 C 0.000 0.500 0.500 x3

Computed properties:
- crystal system = cubic
- theoretical density (g/cm³) = 8.05

=====

Arrangement 2

The following is a PBE-GGA calculation of RhWC3 after structural relaxation, from the Alexandria database.

Unit cell a=3.896 b=3.896 c=3.896 alpha=90.00 beta=90.00 gamma=90.00
Space group Pm-3m (No. 221)
One atom of each set of equivalent atoms:
1 Rh 0.000 0.000 0.000 x1
2 W 0.500 0.500 0.500 x1
3 C 0.000 0.000 0.500 x3

Computed properties:
- crystal system = cubic
- theoretical density (g/cm³) = 9.06

=====

Most stable to least stable: arrangement 1, arrangement 2

=====

Arrangement 1

The following is a PBE-GGA calculation of ZrRhC3 after structural relaxation, from the Alexandria database.

Unit cell a=3.951 b=3.951 c=3.951 alpha=90.00 beta=90.00 gamma=90.00
Space group Pm-3m (No. 221)
One atom of each set of equivalent atoms:
1 Zr 0.000 0.000 0.000 x1
2 Rh 0.500 0.500 0.500 x1
3 C 0.000 0.500 0.500 x3

Computed properties:
- crystal system = cubic
- theoretical density (g/cm³) = 6.20

=====

Arrangement 2

The following is a PBE-GGA calculation of ZrRhC3 after structural relaxation, from the Alexandria database.

Unit cell a=4.227 b=4.227 c=4.227 alpha=90.00 beta=90.00 gamma=90.00
Space group Pm-3m (No. 221)
One atom of each set of equivalent atoms:
1 Zr 0.000 0.000 0.000 x1
2 Rh 0.500 0.500 0.500 x1
3 C 0.000 0.000 0.500 x3

Computed properties:
- crystal system = cubic
- theoretical density (g/cm³) = 5.06

=====

Most stable to least stable: arrangement 1, arrangement 2

=====

Arrangement 1

The following is a PBE-GGA calculation of ZrRhC2 after structural relaxation, from the Alexandria database.

Unit cell a=4.681 b=4.681 c=10.302 alpha=90.00 beta=90.00 gamma=90.00
Space group I-42d (No. 122)
One atom of each set of equivalent atoms:
1 Zr 0.000 0.000 0.000 x4
2 Rh 0.000 0.000 0.500 x4
3 C 0.204 0.250 0.625 x8

Computed properties:
- crystal system = tetragonal
- theoretical density (g/cm³) = 6.42

=====

Arrangement 2

The following is a PBE-GGA calculation of ZrRhC2 after structural relaxation, from the Alexandria database.

Unit cell a=5.639 b=5.639 c=5.639 alpha=90.00 beta=90.00 gamma=90.00
Space group Fm-3m (No. 225)
One atom of each set of equivalent atoms:
1 Zr 0.000 0.000 0.000 x4
2 Rh 0.000 0.000 0.500 x4
3 C 0.250 0.250 0.250 x8

Computed properties:
- crystal system = cubic
- theoretical density (g/cm³) = 8.08

=====

Most stable to least stable: arrangement 1, arrangement 2

=====

Arrangement 1

The following is a PBE-GGA calculation of RuC5 after structural relaxation, from the Alexandria database.

Unit cell a=3.4196 b=3.4196 c=6.7779 alpha=90.00 beta=90.00 gamma=120.00
Space group P6/mmm (No. 191)
One atom of each set of equivalent atoms:
1 Ru 0.0000 0.0000 0.0000 x1
2 C 0.0000 0.5000 0.5000 x3
3 C 0.3333 0.6667 0.0000 x2

Computed properties:
- crystal system = hexagonal
- theoretical density (g/cm³) = 3.90

=====

Arrangement 2

The following is a PBE-GGA calculation of RuC5 after structural relaxation, from the Alexandria database.

Unit cell a=5.848 b=5.848 c=5.848 alpha=90.00 beta=90.00 gamma=90.00
Space group F-43m (No. 216)
One atom of each set of equivalent atoms:
1 Ru 0.000 0.000 0.000 x4
2 C 0.094 0.094 0.406 x16
3 C 0.250 0.250 0.750 x4

Computed properties:
- crystal system = cubic
- theoretical density (g/cm³) = 5.35

=====

Arrangement 3

The following is a PBE-GGA calculation of RuC5 after structural relaxation, from the Alexandria database.

Unit cell a=2.594 b=2.611 c=15.658 alpha=90.00 beta=90.00 gamma=90.00
Space group Amm2 (No. 38)
One atom of each set of equivalent atoms:
1 Ru 0.000 0.000 0.000 x2
2 C 0.000 0.000 0.392 x2
3 C 0.000 0.000 0.706 x2
4 C 0.500 0.000 0.100 x2
5 C 0.500 0.000 0.362 x2
6 C 0.500 0.000 0.659 x2

Computed properties:
- crystal system = orthorhombic
- theoretical density (g/cm³) = 5.05

=====

Most stable to least stable: arrangement 3, arrangement 1, arrangement 2

=====

Arrangement 1

The following is a PBE-GGA calculation of Ru3C after structural relaxation, from the Alexandria database.

Unit cell a=2.8014 b=2.8014 c=21.4530 alpha=90.00 beta=90.00 gamma=120.00
Space group R-3m (No. 166, hexagonal axes)
One atom of each set of equivalent atoms:
1 Ru 0.0000 0.0000 0.0000 x3
2 Ru 0.0000 0.0000 0.2286 x6
3 C 0.0000 0.0000 0.5000 x3

Computed properties:
- crystal system = trigonal
- theoretical density (g/cm³) = 10.77

=====

Arrangement 2

The following is a PBE-GGA calculation of Ru3C after structural relaxation, from the Alexandria database.

Unit cell a=4.247 b=4.247 c=2.794 alpha=90.00 beta=90.00 gamma=90.00
Space group P4/mmm (No. 123)
One atom of each set of equivalent atoms:
1 Ru 0.000 0.000 0.000 x1
2 Ru 0.000 0.500 0.500 x2
3 C 0.500 0.500 0.000 x1

Computed properties:
- crystal system = tetragonal
- theoretical density (g/cm³) = 10.39

=====

Most stable to least stable: arrangement 1, arrangement 2

=====

Arrangement 1

The following is a PBE-GGA calculation of Ru3C after structural relaxation, from the Alexandria database.

Unit cell a=7.636 b=7.757 c=3.805 alpha=90.00 beta=90.00 gamma=90.00
Space group Cmcm (No. 63)
One atom of each set of equivalent atoms:
1 Ru 0.000 0.113 0.250 x4
2 Ru 0.245 0.377 0.250 x8
3 C 0.000 0.375 0.250 x4

Computed properties:
- crystal system = orthorhombic
- theoretical density (g/cm³) = 9.29

=====

Arrangement 2

The following is a PBE-GGA calculation of Ru3C after structural relaxation, from the Alexandria database.

Unit cell a=2.729 b=2.787 c=6.548 alpha=90.00 beta=90.00 gamma=90.00
Space group Pmm2 (No. 25)
One atom of each set of equivalent atoms:
1 Ru 0.000 0.000 0.000 x1
2 Ru 0.000 0.500 0.378 x1
3 Ru 0.500 0.500 0.734 x1
4 C 0.500 0.000 0.257 x1

Computed properties:
- crystal system = orthorhombic
- theoretical density (g/cm³) = 10.51

=====

Most stable to least stable: arrangement 2, arrangement 1

=====

Arrangement 1

The following is a PBE-GGA calculation of Ru3C after structural relaxation, from the Alexandria database.

Unit cell a=6.8477 b=6.8477 c=5.2521 alpha=90.00 beta=90.00 gamma=120.00
Space group P6_3/mmc (No. 194)
One atom of each set of equivalent atoms:
1 Ru 0.0000 0.5000 0.0000 x6
2 Ru 0.1335 0.2670 0.2500 x6
3 C 0.0000 0.0000 0.0000 x2
4 C 0.3333 0.6667 0.7500 x2

Computed properties:
- crystal system = hexagonal
- theoretical density (g/cm³) = 9.82

=====

Arrangement 2

The following is a PBE-GGA calculation of Ru3C after structural relaxation, from the Alexandria database.

Unit cell a=3.605 b=3.605 c=16.008 alpha=90.00 beta=90.00 gamma=90.00
Space group I4/mmm (No. 139)
One atom of each set of equivalent atoms:
1 Ru 0.000 0.000 0.132 x4
2 Ru 0.000 0.500 0.000 x4
3 Ru 0.000 0.500 0.250 x4
4 C 0.000 0.000 0.424 x4

Computed properties:
- crystal system = tetragonal
- theoretical density (g/cm³) = 10.06

=====

Most stable to least stable: arrangement 1, arrangement 2

=====

Arrangement 1

The following is a PBE-GGA calculation of RuC2 after structural relaxation, from the Alexandria database.

Unit cell a=2.670 b=2.670 c=29.974 alpha=90.00 beta=90.00 gamma=90.00
Space group I4_1/amd (No. 141, origin choice 2)
One atom of each set of equivalent atoms:
1 Ru 0.000 0.250 0.317 x8
2 C 0.000 0.250 0.012 x8
3 C 0.000 0.250 0.128 x8

Computed properties:
- crystal system = tetragonal
- theoretical density (g/cm³) = 7.77

=====

Arrangement 2

The following is a PBE-GGA calculation of RuC2 after structural relaxation, from the Alexandria database.

Unit cell a=5.024 b=5.024 c=2.741 alpha=90.00 beta=90.00 gamma=90.00
Space group P4_2/mnm (No. 136)
One atom of each set of equivalent atoms:
1 Ru 0.000 0.000 0.000 x2
2 C 0.212 0.212 0.500 x4

Computed properties:
- crystal system = tetragonal
- theoretical density (g/cm³) = 6.00

=====

Arrangement 3

The following is a PBE-GGA calculation of RuC2 after structural relaxation, from the Alexandria database.

Unit cell a=3.588 b=3.588 c=8.069 alpha=90.00 beta=90.00 gamma=90.00
Space group I4_1/amd (No. 141, origin choice 2)
One atom of each set of equivalent atoms:
1 Ru 0.000 0.250 0.375 x4
2 C 0.000 0.250 0.781 x8

Computed properties:
- crystal system = tetragonal
- theoretical density (g/cm³) = 8.00

=====

Arrangement 4

The following is a PBE-GGA calculation of RuC2 after structural relaxation, from the Alexandria database.

Unit cell a=2.970 b=2.970 c=3.952 alpha=90.00 beta=90.00 gamma=90.00
Space group P4/mmm (No. 123)
One atom of each set of equivalent atoms:
1 Ru 0.000 0.000 0.000 x1
2 C 0.000 0.000 0.500 x1
3 C 0.500 0.500 0.000 x1

Computed properties:
- crystal system = tetragonal
- theoretical density (g/cm³) = 5.96

=====

Most stable to least stable: arrangement 1, arrangement 2, arrangement 3, arrangement 4

=====

Arrangement 1

The following is a PBE-GGA calculation of RuC2 after structural relaxation, from the Alexandria database.

Unit cell a=4.938 b=4.938 c=4.938 alpha=90.00 beta=90.00 gamma=90.00
Space group Fm-3m (No. 225)
One atom of each set of equivalent atoms:
1 Ru 0.000 0.000 0.000 x4
2 C 0.250 0.250 0.250 x8

Computed properties:
- crystal system = cubic
- theoretical density (g/cm³) = 6.90

=====

Arrangement 2

The following is a PBE-GGA calculation of RuC2 after structural relaxation, from the Alexandria database.

Unit cell a=4.465 b=4.465 c=5.225 alpha=90.00 beta=90.00 gamma=90.00
Space group I4/mcm (No. 140)
One atom of each set of equivalent atoms:
1 Ru 0.000 0.000 0.250 x4
2 C 0.114 0.386 0.000 x8

Computed properties:
- crystal system = tetragonal
- theoretical density (g/cm³) = 7.98

=====

Most stable to least stable: arrangement 2, arrangement 1